[1]
Below is a relaxed structure of PrYTlCu, with properties calculated at the PBE level.

Geometry as POSCAR:
```
PrYTlCu
1.0
5.293 0.000 0.000
2.647 4.584 0.000
2.647 1.528 4.322
Tl Cu Pr Y
1 1 1 1
direct
0.500 0.500 0.500 Tl
0.000 0.000 0.000 Cu
0.250 0.250 0.250 Pr
0.750 0.750 0.750 Y
```

Computed properties:
magnetization: 0.22 μB/f.u.
N(E_F): 3.765 states/eV per cell
electronic total energy: -4.66 eV/atom
energy of formation from the pure elements: -0.23 eV per atom

---

[2]
Below is a relaxed structure of Co5Ni3, with properties calculated at the PBE level.

Geometry as POSCAR:
```
Co5Ni3
1.0
-2.730 -4.116 -0.631
3.680 -2.675 2.024
-1.424 0.455 3.191
Co Ni
5 3
direct
0.751 0.249 0.500 Co
0.000 0.000 0.000 Co
0.500 0.000 0.000 Co
0.000 0.500 0.000 Co
0.249 0.751 0.500 Co
0.749 0.749 0.500 Ni
0.500 0.500 0.000 Ni
0.251 0.251 0.500 Ni
```

Computed properties:
magnetization: 10.70 μB/f.u.
N(E_F): 8.888 states/eV per cell
electronic total energy: -6.61 eV/atom
energy of formation from the pure elements: 0.00 eV per atom
ΔE to the lowest computed polymorph: 0.000 eV per atom

---

[3]
Below is a relaxed structure of In2SiSb, with properties calculated at the PBE level.

Geometry as POSCAR:
```
In2SiSb
1.0
-2.856 -3.993 -2.489
2.670 -1.285 -1.002
0.272 -3.202 4.824
In Si Sb
2 1 1
direct
0.000 0.929 0.125 In
0.500 0.391 0.125 In
0.500 0.485 0.625 Si
0.000 0.696 0.625 Sb
```

Computed properties:
magnetization: 0.00 μB/f.u.
N(E_F): 1.741 states/eV per cell
electronic total energy: -3.50 eV/atom
energy relative to the elements, uncorrected: 25 kJ per mole of atoms
ΔE to the lowest computed polymorph: 0.095 eV per atom

---

[4]
Below is a relaxed structure of TbPr3, with properties calculated at the PBE level.

Geometry as POSCAR:
```
TbPr3
1.0
3.706 0.000 0.000
0.000 6.401 0.000
-1.853 -3.201 5.972
Pr Tb
3 1
direct
0.748 0.080 0.496 Pr
0.252 0.584 0.504 Pr
0.500 0.501 0.000 Pr
0.000 0.002 0.000 Tb
```

Computed properties:
magnetization: 0.00 μB/f.u.
N(E_F): 6.790 states/eV per cell
electronic total energy: -4.71 eV/atom
energy of formation from the pure elements: 0.03 eV per atom
ΔE to the lowest computed polymorph: 0.017 eV per atom

---

[5]
Below is a relaxed structure of CsCaYF6, with properties calculated at the PBE level.

Geometry as POSCAR:
```
CsCaYF6
1.0
8.381 0.000 0.000
0.000 8.181 0.000
-4.191 -4.090 5.913
F Ca Y Cs
12 2 2 2
direct
0.563 0.925 0.739 F
0.176 0.925 0.739 F
0.424 0.674 0.848 F
0.824 0.686 0.261 F
0.189 0.939 0.378 F
0.437 0.075 0.261 F
0.437 0.686 0.261 F
0.576 0.326 0.152 F
0.811 0.061 0.622 F
0.824 0.075 0.261 F
0.176 0.314 0.739 F
0.563 0.314 0.739 F
0.500 0.500 0.000 Ca
0.500 0.000 0.000 Ca
0.000 0.000 0.500 Y
0.500 0.000 0.500 Y
0.825 0.575 0.651 Cs
0.175 0.425 0.349 Cs
```

Computed properties:
magnetization: 0.10 μB/f.u.
N(E_F): 0.000 states/eV per cell
electronic total energy: -6.02 eV/atom
energy relative to the elements, uncorrected: -361 kJ per mole of atoms

---

[6]
Below is a relaxed structure of Li2InGePd, with properties calculated at the PBE level.

Geometry as POSCAR:
```
Li2InGePd
1.0
2.964 0.000 0.000
0.000 4.433 0.000
-1.482 -2.216 6.719
Li In Pd Ge
2 1 1 1
direct
0.272 0.272 0.544 Li
0.911 0.911 0.821 Li
0.487 0.487 0.975 In
0.607 0.107 0.214 Pd
0.706 0.706 0.412 Ge
```

Computed properties:
magnetization: 0.00 μB/f.u.
N(E_F): 2.150 states/eV per cell
electronic total energy: -3.60 eV/atom
energy of formation from the pure elements: -0.32 eV per atom
ΔE to the lowest computed polymorph: 0.000 eV per atom

---

[7]
Below is a relaxed structure of PCSe2, with properties calculated at the PBE level.

Geometry as POSCAR:
```
PCSe2
1.0
4.068 1.121 5.324
2.502 -2.754 5.684
5.708 -2.021 3.080
C P Se
1 1 2
direct
0.000 0.000 0.000 C
0.500 0.500 0.500 P
0.908 0.908 0.908 Se
0.092 0.092 0.092 Se
```

Computed properties:
magnetization: 0.00 μB/f.u.
N(E_F): 1.835 states/eV per cell
electronic total energy: -4.28 eV/atom
energy relative to the elements, uncorrected: 109 kJ per mole of atoms
ΔE to the lowest computed polymorph: 0.000 eV per atom

---

[8]
Below is a relaxed structure of CdOsPb2, with properties calculated at the PBE level.

Geometry as POSCAR:
```
CdOsPb2
1.0
-0.159 1.141 5.210
0.344 -1.961 4.951
6.629 0.859 2.581
Pb Cd Os
2 1 1
direct
0.905 0.905 0.029 Pb
0.734 0.734 0.720 Pb
0.565 0.565 0.374 Cd
0.297 0.297 0.376 Os
```

Computed properties:
magnetization: 0.48 μB/f.u.
N(E_F): 2.815 states/eV per cell
electronic total energy: -4.36 eV/atom
energy of formation from the pure elements: 0.53 eV per atom

---

Among the records above, which one has the highest electronic total energy?
In2SiSb